# VBiI2O

A geometry-optimized VBiI2O structure (PBE+U, Alexandria via LeMat-Bulk).

a = 6.2636 Å, b = 6.2636 Å, c = 4.3151 Å
α = 90.00°, β = 90.00°, γ = 90.00°
Last column: nearest neighbours and their distance in Å.
Atoms (fractional coordinates):
V 0.0000 0.0000 0.0000  8 I 3.80
Bi 0.5000 0.5000 0.5000  2 O 2.16
I 0.0000 0.5000 0.5000  2 Bi 3.13
I 0.5000 0.0000 0.5000  2 Bi 3.13
O 0.5000 0.5000 0.0000  2 Bi 2.16

Summary:
SG: P4/mmm (123)
Distance to the lowest polymorph of the same formula: 811 meV per atom
Total DFT energy (no corrections): -0.1252 Ha/atom